# 1
Compound: Ir2OsSe
Source: the Alexandria database
Functional: PBE
Structure: relaxed

Total magnetization = 0.453 μB/f.u.
Calculated volume = 61.25 Å³ per cell
ΔE_f (raw) = 0.66 eV/atom

a = 2.803 Å, b = 4.687 Å, c = 4.661 Å
α = 90.00°, β = 90.00°, γ = 90.00°
Fractional positions:
Ir  0.000  0.000  0.000
Ir  0.500  0.500  0.000
Os  0.500  0.000  0.500
Se  0.000  0.500  0.500

***

# 2
Compound: IrOsSe2
Source: the Alexandria database
Functional: PBE
Structure: relaxed

Total magnetization = 0.000 μB/f.u.
Calculated volume = 64.01 Å³ per cell
Relative energy among the computed polymorphs = 375 meV per atom
ΔE_f (raw) = 0.52 eV/atom

a = 8.199 Å, b = 8.199 Å, c = 8.199 Å
α = 21.35°, β = 21.35°, γ = 21.35°
Fractional positions:
Se  0.003  0.003  0.003
Os  0.750  0.750  0.750
Se  0.497  0.497  0.497
Ir  0.250  0.250  0.250

***

What did the first record say?
Compound: Ir2OsSe
Source: the Alexandria database
Functional: PBE
Structure: relaxed

Total magnetization = 0.453 μB/f.u.
Calculated volume = 61.25 Å³ per cell
ΔE_f (raw) = 0.66 eV/atom

a = 2.803 Å, b = 4.687 Å, c = 4.661 Å
α = 90.00°, β = 90.00°, γ = 90.00°
Fractional positions:
Ir  0.000  0.000  0.000
Ir  0.500  0.500  0.000
Os  0.500  0.000  0.500
Se  0.000  0.500  0.500